# Dy3ScAl

A geometry-optimized Dy3ScAl structure (PBE, Alexandria via LeMat-Bulk).

abc: 4.7013 23.8439 4.7081
angles: 90.00 90.00 90.00
Closest atoms and distances in Å follow each position.
Space group Cmcm (No. 63)
Asymmetric unit:
1 Dy 0.0000 0.0554 0.2500  2 Sc 3.30, 2 Al 3.32, 8 Dy 3.33-3.56
2 Dy 0.0000 0.2495 0.2500  4 Al 3.28-3.30, 4 Sc 3.30-3.32, 4 Dy 3.33
3 Dy 0.0000 0.4433 0.2500  2 Sc 3.27, 2 Al 3.30, 8 Dy 3.33-3.59
4 Sc 0.0000 0.1523 0.7500  8 Dy 3.27-3.32, 4 Al 3.33
5 Al 0.0000 0.3465 0.7500  8 Dy 3.28-3.32, 4 Sc 3.33

For the calculated density, the calculation gives 7.041 g cm⁻³. As for the total magnetization: 0.0 μB per formula unit. The value obtained for the energy relative to the elements is -0.1203 eV/atom. Its crystal system is orthorhombic. The total energy comes out at -4.90 eV/atom. The energy above the most stable polymorph in this dataset comes out at 15 meV per atom.